Entry 1:
Below is a relaxed AgH4Br3N crystal, with properties calculated at the GGA-PBE level.

Cell: 5.4400 5.3817 5.4398 Å, 90.01 90.00 90.00°
Closest atoms and distances in Å follow each position.
Positions (direct):
Ag1 0.5044 0.5047 0.4367  6 Br 2.69-2.73
Br1 0.5044 0.0047 0.4365  2 Ag 2.69
Br2 0.0044 0.5474 0.4368  2 H 2.64, 2 Ag 2.73
Br3 0.5045 0.4619 0.9367  2 H 2.64, 2 Ag 2.73
N1 0.0044 0.0047 0.9367  4 H 1.04
H1 0.0044 0.8928 0.0919  1 N 1.04
H2 0.1597 0.1165 0.9369  1 N 1.04
H3 0.8490 0.1164 0.9368  1 N 1.04
H4 0.0045 0.8932 0.7812  1 N 1.04

Output
The value obtained for the density of states at the Fermi level is 2.369 states/eV/f.u. The calculated total energy is -3.7415 eV/atom.

=====

Entry 2:
Below is a relaxed AgH6BrN2 crystal, with properties calculated at the GGA-PBE level.

Cell: 6.5155 6.5155 9.0233 Å, 117.88 117.88 66.66°
Closest atoms and distances in Å follow each position.
Positions (direct):
Ag1 0.4434 0.5566 0.2500  2 N 2.31
Ag2 0.5566 0.4434 0.7500  2 N 2.31
H1 0.9721 0.7446 0.2423  1 N 1.03
H2 0.2554 0.0279 0.2577  1 N 1.03
H3 0.0279 0.2554 0.7577  1 N 1.03
H4 0.7446 0.9721 0.7423  1 N 1.03
H5 0.0188 0.4659 0.2237  1 N 1.02
H6 0.5341 0.9812 0.2763  1 N 1.02
H7 0.9812 0.5341 0.7763  1 N 1.02
H8 0.4659 0.0188 0.7237  1 N 1.02
H9 0.1226 0.6635 0.4193  1 N 1.03
H10 0.3365 0.8774 0.0807  1 N 1.03
H11 0.8774 0.3365 0.5807  1 N 1.03
H12 0.6635 0.1226 0.9193  1 N 1.03
Br1 0.8052 0.1948 0.2500  6 H 2.54-2.79, 1 Ag 2.59
Br2 0.1948 0.8052 0.7500  6 H 2.54-2.79, 1 Ag 2.59
N1 0.6087 0.0958 0.7858  3 H 1.02-1.03
N2 0.9042 0.3913 0.7142  3 H 1.02-1.03
N3 0.3913 0.9042 0.2142  3 H 1.02-1.03
N4 0.0958 0.6087 0.2858  3 H 1.02-1.03

Output
The value obtained for the density of states at the Fermi level is 0.000 states/eV/f.u. The calculated total energy is -4.5098 eV/atom.

=====

Entry 3:
Below is a relaxed AgH4Br3N crystal, with properties calculated at the GGA-PBE level.

Cell: 4.7818 7.2418 10.4253 Å, 89.73 86.74 90.36°
Closest atoms and distances in Å follow each position.
Positions (direct):
Ag1 0.0173 0.9986 0.7512  4 Br 2.53-2.66
Ag2 0.0092 0.9977 0.2528  4 Br 2.54-2.66
Br1 0.3196 0.7168 0.7140  1 Ag 2.53, 1 H 2.58
Br2 0.6979 0.2784 0.2270  2 H 2.41-2.44, 1 Ag 2.55
Br3 0.3184 0.7190 0.2816  1 H 2.49, 1 Ag 2.54
Br4 0.7299 0.2905 0.7857  2 H 2.36-2.54, 1 Ag 2.54
Br5 0.0681 0.9406 0.0012  1 H 2.48, 2 Ag 2.66
Br6 0.9680 0.0527 0.5029  2 Ag 2.64
N1 0.1631 0.4635 0.0010  4 H 1.03-1.04
N2 0.8129 0.5381 0.4962  4 H 1.03-1.04
H1 0.0537 0.4171 0.0843  1 N 1.04
H2 0.3595 0.4059 0.9944  1 N 1.03
H3 0.1776 0.6068 0.0018  1 N 1.04
H4 0.0537 0.4214 0.9223  1 N 1.04
H5 0.8541 0.4612 0.5770  1 N 1.04
H6 0.9904 0.6087 0.4602  1 N 1.04
H7 0.6577 0.6321 0.5216  1 N 1.03
H8 0.7487 0.4505 0.4245  1 N 1.04

Output
The value obtained for the density of states at the Fermi level is 0.732 states/eV/f.u. The calculated total energy is -3.7379 eV/atom.

=====

Entry 4:
Below is a relaxed AgH3BrN crystal, with properties calculated at the GGA-PBE level.

Cell: 6.3145 4.4121 6.8646 Å, 81.68 90.00 90.00°
Closest atoms and distances in Å follow each position.
Positions (direct):
Ag1 0.7500 0.3797 0.0163  1 N 2.18
Ag2 0.2500 0.6203 0.9837  1 N 2.18
H1 0.7500 0.4065 0.4151  1 N 1.03
H2 0.2500 0.5935 0.5849  1 N 1.03
H3 0.8818 0.7053 0.2996  1 N 1.03
H4 0.3818 0.2947 0.7004  1 N 1.03
H5 0.1182 0.2947 0.7004  1 N 1.03
H6 0.6182 0.7053 0.2996  1 N 1.03
Br1 0.7500 0.0345 0.7532  1 Ag 2.53, 3 H 2.60-2.64
Br2 0.2500 0.9655 0.2468  1 Ag 2.53, 3 H 2.60-2.64
N1 0.7500 0.5707 0.2926  3 H 1.03
N2 0.2500 0.4293 0.7074  3 H 1.03

Output
The value obtained for the density of states at the Fermi level is 0.000 states/eV/f.u. The calculated total energy is -4.2142 eV/atom.

=====

Entry 5:
Below is a relaxed NaAg2HBr4 crystal, with properties calculated at the GGA-PBE level.

Cell: 5.7887 5.7887 7.4516 Å, 114.66 114.66 85.76°
Closest atoms and distances in Å follow each position.
Positions (direct):
Na1 0.9447 0.9447 0.0000  1 H 2.67, 6 Br 2.90-2.95
Ag1 0.2085 0.7085 0.5000  6 Br 2.89-3.08
Ag2 0.7085 0.2085 0.5000  6 Br 2.89-3.08
H1 0.2594 0.2594 0.0000  2 Br 1.72
Br1 0.0125 0.4437 0.0000  1 H 1.72
Br2 0.4437 0.0125 0.0000  1 H 1.72
Br3 0.2008 0.2008 0.4814  4 Ag 2.89-2.91, 1 Na 2.95
Br4 0.7194 0.7194 0.5186  4 Ag 2.89-2.91, 1 Na 2.95

Output
The calculated total energy is -2.6957 eV/atom.

=====

Entry 6:
Below is a relaxed Na2AgHBr4 crystal, with properties calculated at the GGA-PBE level.

Cell: 3.7595 7.5806 7.8047 Å, 65.05 90.00 90.00°
Closest atoms and distances in Å follow each position.
Positions (direct):
Na1 0.0000 0.0000 0.0000  6 Br 2.88-3.18
Na2 0.5000 0.0000 0.5000  6 Br 2.84-3.14
Ag1 0.0000 0.5000 0.5000  4 Br 2.77
H1 0.5000 0.5000 0.0000  4 Br 2.49
Br1 0.0000 0.7029 0.8093  2 H 2.49
Br2 0.0000 0.2971 0.1907  2 H 2.49
Br3 0.5000 0.7736 0.2878  2 Ag 2.77, 3 Na 2.84-2.88
Br4 0.5000 0.2264 0.7122  2 Ag 2.77, 3 Na 2.84-2.88

Output
The value obtained for the density of states at the Fermi level is 0.703 states/eV/f.u. The calculated total energy is -2.5234 eV/atom.